(1)
Density functional theory data (PBE) for a geometry-optimized AgS2I structure.

Summary:
- Fermi-level density of states (states/eV per atom) = 0.69
- ΔE_f (raw) (meV/atom) = 804
- total magnetic moment (μB/f.u.) = 0.00
- symmetry = No. 225

Structure (POSCAR):
```
AgS2I
1.0
0.000 3.461 3.461
3.461 0.000 3.461
3.461 3.461 0.000
S I Ag
2 1 1
direct
0.750 0.750 0.750 S
0.250 0.250 0.250 S
0.500 0.500 0.500 I
0.000 0.000 0.000 Ag
```

***

(2)
Density functional theory data (PBE) for a geometry-optimized Ba2BiHPd structure.

Summary:
- Fermi-level density of states (states/eV per atom) = 0.40
- DFT total energy (eV per cell) = -19.3
- total magnetic moment (μB/f.u.) = 0.00
- symmetry = No. 123

Structure (POSCAR):
```
Ba2BiHPd
1.0
6.063 0.000 0.000
0.000 6.063 0.000
0.000 0.000 3.871
Bi Ba H Pd
1 2 1 1
direct
0.500 0.500 0.500 Bi
0.500 0.000 0.000 Ba
0.000 0.500 0.000 Ba
0.000 0.000 0.000 H
0.000 0.000 0.500 Pd
```

***

(3)
Density functional theory data (PBE) for a geometry-optimized ReAs2BrN structure.

Summary:
- Fermi-level density of states (states/eV per atom) = 0.81
- ΔE_f (raw) (meV/atom) = 1416
- total magnetic moment (μB/f.u.) = 2.38
- symmetry = No. 123

Structure (POSCAR):
```
ReAs2BrN
1.0
4.751 0.000 0.000
0.000 4.751 0.000
0.000 0.000 5.532
As Re N Br
2 1 1 1
direct
0.500 0.000 0.000 As
0.000 0.500 0.000 As
0.000 0.000 0.000 Re
0.500 0.500 0.500 N
0.000 0.000 0.500 Br
```

***

(4)
Density functional theory data (PBE) for a geometry-optimized CuP2H8 structure.

Summary:
- Fermi-level density of states (states/eV per atom) = 0.08
- DFT total energy (eV per cell) = -81.5
- total magnetic moment (μB/f.u.) = 0.00
- symmetry = No. 15

Structure (POSCAR):
```
CuP2H8
1.0
-0.373 2.687 6.662
-0.575 -7.674 6.946
3.724 1.105 3.646
H P Cu
16 4 2
direct
0.791 0.282 0.022 H
0.598 0.833 0.493 H
0.959 0.475 0.530 H
0.076 0.333 0.993 H
0.209 0.718 0.978 H
0.041 0.525 0.470 H
0.293 0.529 0.772 H
0.707 0.471 0.228 H
0.924 0.667 0.007 H
0.594 0.971 0.728 H
0.406 0.029 0.272 H
0.095 0.218 0.478 H
0.402 0.167 0.507 H
0.036 0.975 0.030 H
0.964 0.025 0.970 H
0.905 0.782 0.522 H
0.606 0.828 0.755 P
0.394 0.172 0.245 P
0.189 0.672 0.745 P
0.811 0.328 0.255 P
0.718 0.250 0.750 Cu
0.282 0.750 0.250 Cu
```

***

(5)
Density functional theory data (PBE) for a geometry-optimized Tl2ZnOsPt structure.

Summary:
- Fermi-level density of states (states/eV per atom) = 1.03
- energy of formation (eV per atom) = 1.0090
- total magnetic moment (μB/f.u.) = 0.00
- symmetry = No. 123

Structure (POSCAR):
```
Tl2ZnOsPt
1.0
5.192 0.000 0.000
0.000 4.775 0.000
0.000 0.000 5.192
Tl Zn Pt Os
2 1 1 1
direct
0.000 0.000 0.500 Tl
0.500 0.000 0.000 Tl
0.000 0.500 0.000 Zn
0.500 0.500 0.500 Pt
0.000 0.000 0.000 Os
```

***

(6)
Density functional theory data (PBE) for a geometry-optimized CsAl2PdAu structure.

Summary:
- Fermi-level density of states (states/eV per atom) = 0.20
- energy of formation (eV per atom) = 0.1463
- total magnetic moment (μB/f.u.) = 0.00
- symmetry = No. 123

Structure (POSCAR):
```
CsAl2PdAu
1.0
-4.490 -1.357 1.291
1.173 -5.316 -1.507
1.577 -0.930 4.508
Al Au Pd Cs
2 1 1 1
direct
0.000 0.000 0.500 Al
0.500 0.000 0.000 Al
0.000 0.000 0.000 Au
0.000 0.500 0.000 Pd
0.500 0.500 0.500 Cs
```

***

(7)
Density functional theory data (PBE) for a geometry-optimized TbTm4Au2 structure.

Summary:
- Fermi-level density of states (states/eV per atom) = 1.15
- energy of formation (eV per atom) = -0.2840
- total magnetic moment (μB/f.u.) = 0.00
- symmetry = No. 166

Structure (POSCAR):
```
TbTm4Au2
1.0
4.865 0.000 0.000
2.432 4.213 0.000
2.432 1.404 10.055
Au Tm Tb
2 4 1
direct
0.398 0.398 0.805 Au
0.602 0.602 0.195 Au
0.100 0.100 0.700 Tm
0.701 0.701 0.898 Tm
0.900 0.900 0.300 Tm
0.299 0.299 0.102 Tm
0.500 0.500 0.500 Tb
```

***

(8)
Density functional theory data (PBE) for a geometry-optimized Tl2In3Pb6 structure.

Summary:
- Fermi-level density of states (states/eV per atom) = 0.48
- energy of formation (eV per atom) = 0.0115
- total magnetic moment (μB/f.u.) = 0.00
- symmetry = No. 2

Structure (POSCAR):
```
Tl2In3Pb6
1.0
1.897 1.843 7.617
-3.378 -4.579 -2.315
13.581 3.149 5.321
Pb In Tl
6 3 2
direct
0.458 0.907 0.180 Pb
0.371 0.728 0.545 Pb
0.270 0.544 0.910 Pb
0.629 0.272 0.455 Pb
0.730 0.456 0.090 Pb
0.542 0.093 0.820 Pb
0.086 0.191 0.640 In
0.000 0.000 0.000 In
0.914 0.809 0.360 In
0.827 0.634 0.720 Tl
0.173 0.366 0.280 Tl
```

***

(9)
Density functional theory data (PBE) for a geometry-optimized Li4PrIn5 structure.

Summary:
- Fermi-level density of states (states/eV per atom) = 0.45
- energy of formation (eV per atom) = -0.3203
- total magnetic moment (μB/f.u.) = 0.00
- symmetry = No. 123

Structure (POSCAR):
```
Li4PrIn5
1.0
-3.289 0.062 -1.324
0.576 -3.123 -1.578
-5.790 -8.147 14.005
Li Pr In
4 1 5
direct
0.000 0.000 0.223 Li
0.000 0.000 0.593 Li
0.000 0.000 0.407 Li
0.000 0.000 0.777 Li
0.000 0.000 0.000 Pr
0.500 0.500 0.868 In
0.500 0.500 0.314 In
0.500 0.500 0.500 In
0.500 0.500 0.132 In
0.500 0.500 0.686 In
```

***

(10)
Density functional theory data (PBE) for a geometry-optimized SrCoP2 structure.

Summary:
- Fermi-level density of states (states/eV per atom) = 0.45
- energy of formation (eV per atom) = -0.6106
- total magnetic moment (μB/f.u.) = 0.00
- symmetry = No. 160

Structure (POSCAR):
```
SrCoP2
1.0
6.353 0.012 0.008
5.248 3.580 0.008
5.248 1.625 3.190
Co Sr P
1 1 2
direct
0.673 0.673 0.673 Co
0.493 0.493 0.493 Sr
0.287 0.287 0.287 P
0.046 0.046 0.046 P
```

***

(11)
Density functional theory data (PBE) for a geometry-optimized Pm2Ho2Ru3 structure.

Summary:
- Fermi-level density of states (states/eV per atom) = 0.77
- energy of formation (eV per atom) = -0.1445
- total magnetic moment (μB/f.u.) = 0.00
- symmetry = No. 2

Structure (POSCAR):
```
Pm2Ho2Ru3
1.0
3.474 0.031 0.071
-1.681 8.091 -0.367
0.103 -1.566 6.110
Ru Pm Ho
3 2 2
direct
0.767 0.546 0.165 Ru
0.000 0.000 0.000 Ru
0.233 0.454 0.835 Ru
0.840 0.683 0.682 Pm
0.160 0.317 0.318 Pm
0.396 0.831 0.216 Ho
0.604 0.169 0.784 Ho
```

***

(12)
Density functional theory data (PBE) for a geometry-optimized LaTb6Ho8 structure.

Summary:
- Fermi-level density of states (states/eV per atom) = 1.53
- energy of formation (eV per atom) = 0.1355
- total magnetic moment (μB/f.u.) = 0.00
- symmetry = No. 148

Structure (POSCAR):
```
LaTb6Ho8
1.0
-5.916 4.019 -5.503
-7.111 -4.601 -3.115
-8.033 1.825 2.570
Ho Tb La
8 6 1
direct
0.719 0.111 0.425 Ho
0.577 0.577 0.270 Ho
0.423 0.423 0.730 Ho
0.111 0.744 0.425 Ho
0.256 0.281 0.575 Ho
0.744 0.719 0.425 Ho
0.889 0.256 0.575 Ho
0.281 0.889 0.575 Ho
0.536 0.107 0.125 Tb
0.464 0.893 0.875 Tb
0.893 0.769 0.875 Tb
0.769 0.464 0.875 Tb
0.231 0.536 0.125 Tb
0.107 0.231 0.125 Tb
0.000 0.000 0.000 La
```

***

(13)
Density functional theory data (PBE) for a geometry-optimized Ag2OsPt structure.

Summary:
- Fermi-level density of states (states/eV per atom) = 0.83
- energy of formation (eV per atom) = 0.2545
- total magnetic moment (μB/f.u.) = 0.00
- symmetry = No. 160

Structure (POSCAR):
```
Ag2OsPt
1.0
9.656 0.013 0.007
9.248 2.779 0.007
9.248 1.366 2.421
Os Pt Ag
1 1 2
direct
0.497 0.497 0.497 Os
0.754 0.754 0.754 Pt
0.002 0.002 0.002 Ag
0.248 0.248 0.248 Ag
```

***

(14)
Density functional theory data (PBE) for a geometry-optimized AcLa5Th structure.

Summary:
- Fermi-level density of states (states/eV per atom) = 1.63
- energy of formation (eV per atom) = 0.2671
- total magnetic moment (μB/f.u.) = 0.00
- symmetry = No. 123

Structure (POSCAR):
```
AcLa5Th
1.0
5.865 0.000 0.000
0.000 5.865 0.000
0.000 0.000 8.118
Ac La Th
1 5 1
direct
0.000 0.000 0.000 Ac
0.000 0.500 0.293 La
0.500 0.500 0.000 La
0.500 0.000 0.293 La
0.500 0.000 0.707 La
0.000 0.500 0.707 La
0.000 0.000 0.500 Th
```

***

(15)
Density functional theory data (PBE) for a geometry-optimized LiTc structure.

Summary:
- Fermi-level density of states (states/eV per atom) = 0.76
- energy of formation (eV per atom) = 1.2222
- total magnetic moment (μB/f.u.) = 0.00
- symmetry = No. 225

Structure (POSCAR):
```
LiTc
1.0
4.660 0.000 0.000
0.000 4.660 0.000
0.000 0.000 4.660
Tc Li
4 4
direct
0.000 0.000 0.500 Tc
0.500 0.000 0.000 Tc
0.000 0.500 0.000 Tc
0.500 0.500 0.500 Tc
0.500 0.000 0.500 Li
0.000 0.000 0.000 Li
0.000 0.500 0.500 Li
0.500 0.500 0.000 Li
```

***

(16)
Density functional theory data (PBE) for a geometry-optimized BeCr2Au structure.

Summary:
- Fermi-level density of states (states/eV per atom) = 0.76
- energy of formation (eV per atom) = 0.1524
- total magnetic moment (μB/f.u.) = 0.00
- symmetry = No. 123

Structure (POSCAR):
```
BeCr2Au
1.0
-2.993 1.591 -0.096
-1.566 -2.974 -0.456
-0.375 -0.452 4.234
Be Cr Au
1 2 1
direct
0.000 0.500 0.500 Be
0.500 0.500 0.000 Cr
0.000 0.000 0.000 Cr
0.500 0.000 0.500 Au
```

***

(17)
Density functional theory data (PBE) for a geometry-optimized Nd3Ho2ScS6 structure.

Summary:
- Fermi-level density of states (states/eV per atom) = 0.43
- ΔE_f (raw) (meV/atom) = -1979
- total magnetic moment (μB/f.u.) = 0.00
- symmetry = No. 12

Structure (POSCAR):
```
Nd3Ho2ScS6
1.0
-3.520 2.085 -5.404
6.410 -2.088 -0.709
-3.080 -6.142 1.055
S Ho Nd Sc
6 2 3 1
direct
0.925 0.599 0.773 S
0.075 0.401 0.227 S
0.599 0.925 0.773 S
0.249 0.249 0.770 S
0.751 0.751 0.230 S
0.401 0.075 0.227 S
0.334 0.666 0.000 Ho
0.666 0.334 0.000 Ho
0.831 0.169 0.500 Nd
0.169 0.831 0.500 Nd
0.500 0.500 0.500 Nd
0.000 0.000 0.000 Sc
```

***

(18)
Density functional theory data (PBE) for a geometry-optimized Mn2CuTcH structure.

Summary:
- Fermi-level density of states (states/eV per atom) = 0.90
- DFT total energy (eV per cell) = -35.2
- total magnetic moment (μB/f.u.) = 2.72
- symmetry = No. 123

Structure (POSCAR):
```
Mn2CuTcH
1.0
-3.242 0.899 1.663
1.307 -1.320 3.261
1.327 3.298 0.803
Mn Cu Tc H
2 1 1 1
direct
0.500 0.000 0.000 Mn
0.000 0.500 0.000 Mn
0.000 0.000 0.500 Cu
0.500 0.500 0.500 Tc
0.000 0.000 0.000 H
```

***

(19)
Density functional theory data (PBE) for a geometry-optimized Ce3Sm3ErTe8 structure.

Summary:
- Fermi-level density of states (states/eV per atom) = 1.58
- ΔE_f (raw) (meV/atom) = -1405
- total magnetic moment (μB/f.u.) = 3.83
- symmetry = No. 166

Structure (POSCAR):
```
Ce3Sm3ErTe8
1.0
-1.862 8.142 -3.002
3.187 -6.154 -5.545
-8.327 -0.745 3.143
Te Ce Sm Er
8 3 3 1
direct
0.752 0.503 0.254 Te
0.749 0.997 0.746 Te
0.248 0.497 0.746 Te
0.749 0.498 0.746 Te
0.248 0.997 0.746 Te
0.752 0.003 0.254 Te
0.251 0.502 0.254 Te
0.251 0.003 0.254 Te
0.000 0.000 0.000 Ce
0.500 0.500 0.000 Ce
0.000 0.500 0.000 Ce
0.000 0.500 0.500 Sm
0.500 0.500 0.500 Sm
0.500 0.000 0.500 Sm
0.000 0.000 0.500 Er
```

***

(20)
Density functional theory data (PBE) for a geometry-optimized Zn2In2I structure.

Summary:
- Fermi-level density of states (states/eV per atom) = 0.33
- ΔE_f (raw) (meV/atom) = 87
- total magnetic moment (μB/f.u.) = 0.00
- symmetry = No. 127

Structure (POSCAR):
```
Zn2In2I
1.0
-5.628 -3.089 -5.874
1.223 -8.052 3.063
-2.693 0.477 2.329
In Zn I
4 4 2
direct
0.811 0.689 0.000 In
0.311 0.811 0.000 In
0.689 0.189 0.000 In
0.189 0.311 0.000 In
0.391 0.109 0.500 Zn
0.109 0.609 0.500 Zn
0.609 0.891 0.500 Zn
0.891 0.391 0.500 Zn
0.000 0.000 0.000 I
0.500 0.500 0.000 I
```

***

(21)
Density functional theory data (PBE) for a geometry-optimized TaZnGe structure.

Summary:
- Fermi-level density of states (states/eV per atom) = 0.93
- energy of formation (eV per atom) = 0.1627
- total magnetic moment (μB/f.u.) = 0.00
- symmetry = No. 187

Structure (POSCAR):
```
TaZnGe
1.0
2.766 0.000 0.000
0.000 4.473 0.000
0.000 -2.237 3.874
Ta Ge Zn
1 1 1
direct
0.000 0.000 0.000 Ta
0.501 0.667 0.333 Ge
0.499 0.333 0.667 Zn
```

***

(22)
Density functional theory data (PBE) for a geometry-optimized MnInSn3 structure.

Summary:
- Fermi-level density of states (states/eV per atom) = 0.81
- energy of formation (eV per atom) = 0.9816
- total magnetic moment (μB/f.u.) = 4.44
- symmetry = No. 221

Structure (POSCAR):
```
MnInSn3
1.0
5.581 0.000 0.000
0.000 5.581 0.000
0.000 0.000 5.581
Sn Mn In
3 1 1
direct
0.000 0.000 0.500 Sn
0.000 0.500 0.000 Sn
0.500 0.000 0.000 Sn
0.500 0.500 0.500 Mn
0.000 0.000 0.000 In
```

***

(23)
Density functional theory data (PBE) for a geometry-optimized BeMoIr2 structure.

Summary:
- Fermi-level density of states (states/eV per atom) = 0.51
- energy of formation (eV per atom) = -0.1904
- total magnetic moment (μB/f.u.) = 0.00
- symmetry = No. 25

Structure (POSCAR):
```
BeMoIr2
1.0
2.758 0.000 0.000
0.000 3.798 0.000
0.000 0.000 5.300
Ir Be Mo
2 1 1
direct
0.500 0.500 0.270 Ir
0.000 0.000 0.948 Ir
0.500 0.500 0.786 Be
0.000 0.000 0.496 Mo
```

***

(24)
Density functional theory data (PBE) for a geometry-optimized CoPb2Au structure.

Summary:
- Fermi-level density of states (states/eV per atom) = 0.75
- energy of formation (eV per atom) = 0.2182
- total magnetic moment (μB/f.u.) = 0.72
- symmetry = No. 6

Structure (POSCAR):
```
CoPb2Au
1.0
3.306 0.000 0.000
0.000 4.194 0.005
0.000 2.096 6.338
Co Au Pb
1 1 2
direct
0.500 0.514 0.847 Co
0.000 0.683 0.508 Au
0.500 0.299 0.278 Pb
0.000 0.004 0.867 Pb
```

***

(25)
Density functional theory data (PBE) for a geometry-optimized LiIn2PbCl5 structure.

Summary:
- Fermi-level density of states (states/eV per atom) = 0.00
- ΔE_f (raw) (meV/atom) = -1144
- total magnetic moment (μB/f.u.) = 0.00
- symmetry = No. 36

Structure (POSCAR):
```
LiIn2PbCl5
1.0
-0.813 -4.196 0.288
3.788 0.864 -8.572
12.508 -2.058 5.320
Li Cl Pb In
2 10 2 4
direct
0.451 0.902 0.428 Li
0.549 0.098 0.928 Li
0.037 0.073 0.013 Cl
0.320 0.641 0.392 Cl
0.355 0.710 0.005 Cl
0.509 0.017 0.276 Cl
0.680 0.359 0.892 Cl
0.491 0.983 0.776 Cl
0.712 0.423 0.177 Cl
0.963 0.927 0.513 Cl
0.645 0.290 0.505 Cl
0.288 0.577 0.677 Cl
0.201 0.402 0.034 Pb
0.799 0.598 0.534 Pb
0.128 0.256 0.331 In
0.088 0.176 0.669 In
0.912 0.824 0.169 In
0.872 0.744 0.831 In
```